Below is an optimized crystal structure of Mn2ZnCo, with properties calculated at the PBEsol level.

extended XYZ file:
```
4
Lattice="-1.122 1.503 2.180 -2.936 -2.786 0.410 2.327 -2.066 2.621" Properties=species:S:1:pos:R:3 pbc="T T T"
Co -0.561 0.751 1.090
Mn 1.163 -1.033 1.311
Mn -1.468 -1.393 0.205
Zn -0.865 -1.675 2.606
```

E_tot: -28.334 eV/cell
DOS(E_F): 3.02 states/eV/f.u.

Below is an optimized crystal structure of CrFe2Se, with properties calculated at the PBEsol level.

extended XYZ file:
```
4
Lattice="2.968 0.000 0.000 0.000 2.968 0.000 0.000 0.000 5.333" Properties=species:S:1:pos:R:3 pbc="T T T"
Fe 0.000 0.000 3.935
Fe 0.000 0.000 1.397
Cr 1.484 1.484 2.666
Se 1.484 1.484 0.000
```

Distance to the lowest polymorph of the same formula: 0 meV per atom
E_tot: -31.070 eV/cell
Formation energy (no corrections): 237 meV/atom
DOS(E_F): 4.92 states/eV/f.u.

Below is an optimized crystal structure of CsSr2Bi2, with properties calculated at the PBEsol level.

extended XYZ file:
```
10
Lattice="3.905 0.000 0.000 0.000 10.065 0.000 0.000 0.000 10.065" Properties=species:S:1:pos:R:3 pbc="T T T"
Sr 1.953 8.709 3.676
Sr 1.953 6.389 8.709
Sr 1.953 3.676 1.356
Sr 1.953 1.356 6.389
Cs 0.000 0.000 0.000
Cs 0.000 5.033 5.033
Bi 0.000 3.433 8.466
Bi 0.000 1.599 3.433
Bi 0.000 8.466 6.632
Bi 0.000 6.632 1.599
```

E_tot: -33.412 eV/cell
DOS(E_F): 0.94 states/eV/f.u.

Which formula does entry 2 have? CrFe2Se